Material: NiSb2
Method: DFT, SCAN
State: single point on PBEsol structure

The structure belongs to space group P-3m1 (No. 164); the cell edges are 3.8067, 3.8067 and 5.0341 Å and the angles 90.00°, 90.00° and 120.00°. The inequivalent atoms are Ni at (0.0000, 0.0000, 0.0000) and Sb at (0.3333, 0.6667, 0.7513).

The calculation puts the density of states at the Fermi level at 1.66 states/eV/f.u. The value obtained for the theoretical density is 7.94 Mg/m³. The calculated volume is 21.06 Å³/atom. The calculation puts the uncorrected formation energy at -0.4 eV per formula unit.